Record 1
The following is a DFT calculation (PBEsol) of Cr2WCl after structural relaxation.

Lattice parameters (Å, degrees): 2.7345 2.7345 8.0616 90.00 90.00 114.63
Fractional positions:
1 Cl 0.5000 0.5000 0.2309
2 Cr 0.0000 0.0000 0.9843
3 Cr 0.5000 0.5000 0.7698
4 W 0.0000 0.0000 0.5150

Results
E_form (uncorrected) (eV/atom): 0.530
Excess energy over the best structure of this formula in the dataset (meV per atom): 0.0
Fermi-level density of states (states/eV per atom): 1.059



Record 2
The following is a DFT calculation (PBEsol) of PtI2O2 after structural relaxation.

Lattice parameters (Å, degrees): 4.1207 4.1207 5.6253 90.00 90.00 90.00
Fractional positions:
1 Pt 0.0000 0.0000 0.0000
2 O 0.0000 0.5000 0.0000
3 O 0.5000 0.0000 0.0000
4 I 0.0000 0.0000 0.5000
5 I 0.5000 0.5000 0.5000

Results
E_form (uncorrected) (eV/atom): 0.380
Fermi-level density of states (states/eV per atom): 0.688



Record 3
The following is a DFT calculation (PBEsol) of YMgIn4 after structural relaxation.

Lattice parameters (Å, degrees): 5.9592 5.9592 5.9592 60.00 60.00 60.00
Fractional positions:
1 Y 0.0000 0.0000 0.0000
2 Mg 0.7500 0.7500 0.7500
3 In 0.8743 0.3752 0.3752
4 In 0.3752 0.8743 0.3752
5 In 0.3752 0.3752 0.3752
6 In 0.3752 0.3752 0.8743

Results
Formation enthalpy at 0 K (meV per atom): -141
Fermi-level density of states (states/eV per atom): 0.590



Record 4
The following is a DFT calculation (PBEsol) of Fe4Ag after structural relaxation.

Lattice parameters (Å, degrees): 2.8515 4.8624 4.8624 85.07 72.95 72.95
Fractional positions:
1 Fe 0.6104 0.2098 0.5694
2 Fe 0.1798 0.4306 0.2098
3 Fe 0.3896 0.7902 0.4306
4 Fe 0.8202 0.5694 0.7902
5 Ag 0.0000 0.0000 0.0000

Results
Formation enthalpy at 0 K (meV per atom): 279
Fermi-level density of states (states/eV per atom): 0.804



Record 5
The following is a DFT calculation (PBEsol) of FeTeRh after structural relaxation.

Lattice parameters (Å, degrees): 3.4886 3.4886 4.5987 112.29 112.29 90.00
Fractional positions:
1 Rh 0.3354 0.3354 0.6708
2 Fe 0.9944 0.9944 0.9888
3 Te 0.6702 0.6702 0.3404

Results
E_form (uncorrected) (eV/atom): 0.155
Fermi-level density of states (states/eV per atom): 0.903



Record 6
The following is a DFT calculation (PBEsol) of K2CaOs after structural relaxation.

Lattice parameters (Å, degrees): 2.9993 2.9993 12.6463 90.00 90.00 90.00
Fractional positions:
1 K 0.0000 0.0000 0.1988
2 K 0.0000 0.0000 0.8012
3 Ca 0.5000 0.5000 0.5000
4 Os 0.5000 0.5000 0.0000

Results
Formation enthalpy at 0 K (meV per atom): 1281
Excess energy over the best structure of this formula in the dataset (meV per atom): 393.7
Fermi-level density of states (states/eV per atom): 1.095



Record 7
The following is a DFT calculation (PBEsol) of LaYRe2 after structural relaxation.

Lattice parameters (Å, degrees): 3.2292 3.2292 9.1997 79.89 79.89 60.00
Fractional positions:
1 Re 0.7497 0.7497 0.7509
2 Re 0.2503 0.2503 0.2491
3 Y 0.0000 0.0000 0.0000
4 La 0.5000 0.5000 0.5000

Results
Formation enthalpy at 0 K (meV per atom): 845
Fermi-level density of states (states/eV per atom): 1.396



Record 8
The following is a DFT calculation (PBEsol) of ScTl2Se after structural relaxation.

Lattice parameters (Å, degrees): 3.4834 3.4834 8.0032 90.00 90.00 90.00
Fractional positions:
1 Tl 0.0000 0.0000 0.9914
2 Tl 0.5000 0.5000 0.2764
3 Sc 0.0000 0.0000 0.5497
4 Se 0.5000 0.5000 0.6824

Results
E_form (uncorrected) (eV/atom): -0.647
Fermi-level density of states (states/eV per atom): 0.709



Record 9
The following is a DFT calculation (PBEsol) of Re2Os after structural relaxation.

Lattice parameters (Å, degrees): 2.7474 4.3827 7.2934 90.00 100.86 90.00
Fractional positions:
1 Re 0.4445 0.7500 0.8889
2 Re 0.5555 0.2500 0.1111
3 Re 0.8872 0.2500 0.7744
4 Re 0.1128 0.7500 0.2256
5 Os 0.2230 0.2500 0.4461
6 Os 0.7770 0.7500 0.5539

Results
Formation enthalpy at 0 K (meV per atom): -47
Excess energy over the best structure of this formula in the dataset (meV per atom): 28.7
Fermi-level density of states (states/eV per atom): 0.714



Record 10
The following is a DFT calculation (PBEsol) of LiV3CrO8 after structural relaxation.

Lattice parameters (Å, degrees): 5.2008 5.7073 10.2837 97.03 104.22 107.40
Fractional positions:
1 O 0.3753 0.8590 0.0695
2 O 0.9124 0.0224 0.1906
3 O 0.0973 0.9703 0.8054
4 O 0.5915 0.7300 0.3080
5 O 0.3627 0.3435 0.0664
6 O 0.9104 0.5363 0.1950
7 O 0.5954 0.2145 0.3059
8 O 0.1258 0.3996 0.4346
9 O 0.1420 0.8909 0.4314
10 O 0.3967 0.7722 0.6908
11 O 0.8631 0.0890 0.5614
12 O 0.4017 0.2799 0.6940
13 O 0.6402 0.1564 0.9402
14 O 0.6345 0.6390 0.9340
15 O 0.8566 0.6079 0.5642
16 O 0.0953 0.4758 0.8110
17 V 0.1690 0.9537 0.6176
18 V 0.8305 0.5531 0.3778
19 V 0.6730 0.1981 0.1230
20 V 0.3278 0.3017 0.8816
21 V 0.8798 0.0714 0.3823
22 V 0.6259 0.6797 0.1181
23 Cr 0.1192 0.4336 0.6227
24 Cr 0.3751 0.8176 0.8787
25 Li 0.7461 0.6327 0.7490
26 Li 0.2528 0.8716 0.2466

Results
E_form (uncorrected) (eV/atom): -2.202
Fermi-level density of states (states/eV per atom): 0.382



Record 11
The following is a DFT calculation (PBEsol) of In2FeHg after structural relaxation.

Lattice parameters (Å, degrees): 4.1163 4.1163 5.3838 112.48 112.48 90.00
Fractional positions:
1 Fe 0.5000 0.5000 0.0000
2 In 0.7500 0.2500 0.5000
3 In 0.0000 0.0000 0.0000
4 Hg 0.2500 0.7500 0.5000

Results
Formation enthalpy at 0 K (meV per atom): 323
Fermi-level density of states (states/eV per atom): 0.743



Record 12
The following is a DFT calculation (PBEsol) of ZrSc2Te after structural relaxation.

Lattice parameters (Å, degrees): 4.9462 4.9462 4.9462 60.00 60.00 60.00
Fractional positions:
1 Sc 0.2500 0.2500 0.2500
2 Sc 0.0000 0.0000 0.0000
3 Te 0.5000 0.5000 0.5000
4 Zr 0.7500 0.7500 0.7500

Results
E_form (uncorrected) (eV/atom): -0.182
Fermi-level density of states (states/eV per atom): 1.252



Record 13
The following is a DFT calculation (PBEsol) of Ti2VS4 after structural relaxation.

Lattice parameters (Å, degrees): 3.2896 5.8637 6.6507 115.93 104.32 90.00
Fractional positions:
1 Ti 0.7455 0.7268 0.4910
2 Ti 0.2545 0.2732 0.5090
3 S 0.8835 0.5536 0.7671
4 S 0.1165 0.4464 0.2329
5 S 0.3752 0.0429 0.7503
6 S 0.6248 0.9571 0.2497
7 V 0.0000 0.0000 0.0000

Results
E_form (uncorrected) (eV/atom): -1.376
Fermi-level density of states (states/eV per atom): 0.472



Record 14
The following is a DFT calculation (PBEsol) of CdHg after structural relaxation.

Lattice parameters (Å, degrees): 3.1816 5.0169 6.0562 110.27 105.23 90.00
Fractional positions:
1 Cd 0.1298 0.2832 0.2596
2 Cd 0.8702 0.7168 0.7404
3 Hg 0.6186 0.7779 0.2372
4 Hg 0.3814 0.2221 0.7628

Results
Formation enthalpy at 0 K (meV per atom): -4
Fermi-level density of states (states/eV per atom): 0.352



Record 15
The following is a DFT calculation (PBEsol) of MgCo4Cu3O12 after structural relaxation.

Lattice parameters (Å, degrees): 6.0714 6.0714 6.0714 109.47 109.47 109.47
Fractional positions:
1 O 0.1727 0.3003 0.4730
2 O 0.6997 0.8724 0.1727
3 O 0.8273 0.6997 0.5270
4 O 0.5270 0.8273 0.6997
5 O 0.1276 0.8273 0.3003
6 O 0.3003 0.4730 0.1727
7 O 0.8724 0.1727 0.6997
8 O 0.3003 0.1276 0.8273
9 O 0.6997 0.5270 0.8273
10 O 0.8273 0.3003 0.1276
11 O 0.4730 0.1727 0.3003
12 O 0.1727 0.6997 0.8724
13 Cu 0.5000 0.5000 0.0000
14 Cu 0.0000 0.5000 0.5000
15 Cu 0.5000 0.0000 0.5000
16 Co 0.0000 0.0000 0.5000
17 Co 0.5000 0.5000 0.5000
18 Co 0.5000 0.0000 0.0000
19 Co 0.0000 0.5000 0.0000
20 Mg 0.0000 0.0000 0.0000

Results
E_form (uncorrected) (eV/atom): -0.985
Fermi-level density of states (states/eV per atom): 0.706



Record 16
The following is a DFT calculation (PBEsol) of SrAsW2 after structural relaxation.

Lattice parameters (Å, degrees): 2.7937 5.1457 5.3297 90.00 90.00 91.21
Fractional positions:
1 W 0.8960 0.7434 0.0000
2 W 0.1040 0.2566 0.0000
3 As 0.0000 0.5000 0.5000
4 Sr 0.5000 0.0000 0.5000

Results
Formation enthalpy at 0 K (meV per atom): 789
Fermi-level density of states (states/eV per atom): 0.760



Record 17
The following is a DFT calculation (PBEsol) of Sr2CuO2F2 after structural relaxation.

Lattice parameters (Å, degrees): 3.9331 3.9331 6.9595 106.41 106.41 90.00
Fractional positions:
1 O 0.5000 0.0000 0.0000
2 O 0.0000 0.5000 0.0000
3 F 0.7500 0.2500 0.5000
4 F 0.2500 0.7500 0.5000
5 Sr 0.6345 0.6345 0.2689
6 Sr 0.3655 0.3655 0.7311
7 Cu 0.0000 0.0000 0.0000

Results
E_form (uncorrected) (eV/atom): -2.682
Fermi-level density of states (states/eV per atom): 0.061



Record 18
The following is a DFT calculation (PBEsol) of NaNbSn3 after structural relaxation.

Lattice parameters (Å, degrees): 5.3507 5.3507 5.3507 90.00 90.00 90.00
Fractional positions:
1 Sn 0.0000 0.5000 0.0000
2 Sn 0.5000 0.0000 0.0000
3 Sn 0.0000 0.0000 0.5000
4 Na 0.5000 0.5000 0.5000
5 Nb 0.0000 0.0000 0.0000

Results
Formation enthalpy at 0 K (meV per atom): 128
Fermi-level density of states (states/eV per atom): 0.775



Record 19
The following is a DFT calculation (PBEsol) of Sr2CoMoO6 after structural relaxation.

Lattice parameters (Å, degrees): 5.4270 5.4838 5.4270 119.66 90.00 119.66
Fractional positions:
1 O 0.2540 0.5080 0.2540
2 O 0.7742 0.0000 0.7237
3 O 0.7237 0.0000 0.2258
4 O 0.2763 0.0000 0.7742
5 O 0.2258 0.0000 0.2763
6 O 0.7460 0.4920 0.7460
7 Sr 0.2500 0.5000 0.7500
8 Sr 0.7500 0.5000 0.2500
9 Co 0.0000 0.0000 0.0000
10 Mo 0.5000 0.0000 0.5000

Results
E_form (uncorrected) (eV/atom): -2.273
Fermi-level density of states (states/eV per atom): 0.153



Record 20
The following is a DFT calculation (PBEsol) of Mn4AlAs after structural relaxation.

Lattice parameters (Å, degrees): 4.6919 4.6919 4.6919 60.00 60.00 60.00
Fractional positions:
1 As 0.0000 0.0000 0.0000
2 Mn 0.3748 0.8755 0.3748
3 Mn 0.8755 0.3748 0.3748
4 Mn 0.3748 0.3748 0.8755
5 Mn 0.3748 0.3748 0.3748
6 Al 0.7500 0.7500 0.7500

Results
Formation enthalpy at 0 K (meV per atom): 204
Fermi-level density of states (states/eV per atom): 1.275